1.
First-principles (PBE-GGA) data for an optimized crystal structure of Al2NiPb, as listed in Alexandria via LeMat-Bulk.

abc: 3.856 4.162 5.127
angles: 90.00 108.90 90.00
Sites, in units of the cell vectors:
Al (0.136, 0.000, 0.290)
Al (0.864, 0.000, 0.710)
Ni (0.000, 0.500, 0.500)
Pb (0.500, 0.500, 0.000)

Properties
* space-group type: P2/m
* total magnetization: 0.0 μB/cell
* VASP energy: -16.52 eV for the cell shown

***

2.
First-principles (PBE-GGA) data for an optimized crystal structure of BaReSb2, as listed in Alexandria via LeMat-Bulk.

abc: 6.047 6.047 6.047
angles: 134.85 134.85 65.76
Sites, in units of the cell vectors:
Ba (0.000, 0.000, 0.000)
Re (0.250, 0.750, 0.500)
Sb (0.500, 0.500, 0.000)
Sb (0.750, 0.250, 0.500)

Properties
* space-group type: I-4m2
* polymorph energy (0 for the lowest one): 787 meV per atom
* energy relative to the elements, uncorrected: 2.904 eV/f.u.
* total magnetization: 2.6 μB/cell
* VASP energy: -19.71 eV for the cell shown

***

3.
First-principles (PBE-GGA) data for an optimized crystal structure of TlSe2Br, as listed in Alexandria via LeMat-Bulk.

abc: 7.218 7.218 7.218
angles: 119.24 119.24 91.32
Sites, in units of the cell vectors:
Tl (0.000, 0.000, 0.000)
Tl (0.750, 0.250, 0.500)
Se (0.099, 0.625, 0.974)
Se (0.375, 0.349, 0.474)
Se (0.651, 0.125, 0.026)
Se (0.875, 0.901, 0.526)
Br (0.250, 0.750, 0.500)
Br (0.500, 0.500, 0.000)

Properties
* space-group type: I-42d
* polymorph energy (0 for the lowest one): 484 meV per atom
* energy relative to the elements, uncorrected: 0.834 eV/f.u.
* total magnetization: 0.0 μB/cell
* VASP energy: -20.35 eV for the cell shown

***

4.
First-principles (PBE-GGA) data for an optimized crystal structure of Nb2Sn2Rh3, as listed in Alexandria via LeMat-Bulk.

abc: 4.002 5.104 6.547
angles: 83.38 89.99 66.93
Sites, in units of the cell vectors:
Nb (0.134, 0.231, 0.419)
Nb (0.866, 0.769, 0.581)
Sn (0.411, 0.678, 0.239)
Sn (0.589, 0.322, 0.761)
Rh (0.000, 0.500, 0.000)
Rh (0.296, 0.909, 0.824)
Rh (0.704, 0.091, 0.176)

Properties
* space-group type: P-1
* total magnetization: 0.0 μB/cell
* VASP energy: -52.17 eV for the cell shown

***

5.
First-principles (PBE-GGA) data for an optimized crystal structure of Sr2PdSe, as listed in Alexandria via LeMat-Bulk.

abc: 7.789 7.789 7.789
angles: 32.89 32.89 32.89
Sites, in units of the cell vectors:
Sr (0.250, 0.250, 0.250)
Sr (0.750, 0.750, 0.750)
Pd (0.500, 0.500, 0.500)
Se (0.000, 0.000, 0.000)

Properties
* space-group type: R-3m
* energy relative to the elements, uncorrected: -4.842 eV/f.u.
* total magnetization: 0.0 μB/cell
* VASP energy: -16.88 eV for the cell shown

***

6.
First-principles (PBE-GGA) data for an optimized crystal structure of Er2ZrGa, as listed in Alexandria via LeMat-Bulk.

abc: 4.545 4.545 4.557
angles: 90.00 90.00 90.00
Sites, in units of the cell vectors:
Er (0.000, 0.500, 0.000)
Er (0.500, 0.000, 0.000)
Zr (0.000, 0.000, 0.500)
Ga (0.500, 0.500, 0.500)

Properties
* space-group type: P4/mmm
* polymorph energy (0 for the lowest one): 38 meV per atom
* total magnetization: 0.0 μB/cell
* VASP energy: -21.57 eV for the cell shown

***

Repeat the first record exactly.
First-principles (PBE-GGA) data for an optimized crystal structure of Al2NiPb, as listed in Alexandria via LeMat-Bulk.

abc: 3.856 4.162 5.127
angles: 90.00 108.90 90.00
Sites, in units of the cell vectors:
Al (0.136, 0.000, 0.290)
Al (0.864, 0.000, 0.710)
Ni (0.000, 0.500, 0.500)
Pb (0.500, 0.500, 0.000)

Properties
* space-group type: P2/m
* total magnetization: 0.0 μB/cell
* VASP energy: -16.52 eV for the cell shown

***

> What is the VASP energy in the first record?

-16.52 eV for the cell shown